VASP calculation (GGA-PBE) on an optimized crystal structure of Lu3FeB2.

abc: 3.447 3.447 21.390
angles: 90.00 90.00 120.00
Site moments in Bohr magnetons follow the coordinates.
Sites, in units of the cell vectors:
B: 0.333 0.667 0.079  0.01
B: 0.333 0.667 0.421  0.01
B: 0.667 0.333 0.579  0.01
B: 0.667 0.333 0.921  0.01
Fe: 0.000 0.000 0.250  2.42
Fe: 0.000 0.000 0.750  2.40
Lu: 0.000 0.000 0.000  -0.03
Lu: 0.667 0.333 0.153  -0.17
Lu: 0.667 0.333 0.347  -0.17
Lu: 0.000 0.000 0.500  -0.03
Lu: 0.333 0.667 0.653  -0.18
Lu: 0.333 0.667 0.847  -0.18

Computed properties:
* theoretical density: 9.09 g/cm³
* VASP energy: -5.595 eV/atom